Entry from Alexandria: a geometry-optimized Y2AgCl structure (GGA-PBE).

Spin magnetization ... 0.00 μB/atom
DFT total energy ... -76.19 eV for the cell shown
Fermi-level density of states ... 17.82 states/eV/cell

abc: 6.0400 6.0400 13.9186
angles: 90.00 90.00 90.00
Space group I-42d (No. 122)
Unique sites:
Y1 0.2323 0.2500 0.1250 x8
Ag1 0.0000 0.0000 0.5000 x4
Cl1 0.0000 0.0000 0.0000 x4